# 1
## NiMoP2 (PBE)

Data for a relaxed NiMoP2 crystal.

Unit cell a=4.2274 b=4.2274 c=4.2274 alpha=60.00 beta=60.00 gamma=60.00
Closest atoms and distances in Å follow each position.
Element x y z (fractional)
Mo: 0.5000 0.5000 0.5000  4 Ni 2.59, 4 P 2.59
Ni: 0.7500 0.7500 0.7500  4 Mo 2.59, 4 P 2.59
P: 0.0000 0.0000 0.0000  4 P 2.59, 4 Ni 2.59
P: 0.2500 0.2500 0.2500  4 Mo 2.59, 4 P 2.59

Summary:
As for the total DFT energy (no corrections): -26.1 eV for the cell shown. As for the mass density: 6.73 g/cm³. The value obtained for the total moment is 0.000 μB/cell.

# 2
## CaTl5 (PBE)

Data for a relaxed CaTl5 crystal.

Unit cell a=5.8450 b=6.8832 c=10.6202 alpha=90.00 beta=90.00 gamma=122.84
Closest atoms and distances in Å follow each position.
Element x y z (fractional)
Ca: 0.7568 0.5249 0.2500  12 Tl 3.40-3.59
Ca: 0.2432 0.4751 0.7500  12 Tl 3.40-3.59
Tl: 0.7520 0.0216 0.2500  10 Tl 3.40-3.56, 2 Ca 3.43-3.45
Tl: 0.2480 0.9784 0.7500  10 Tl 3.40-3.56, 2 Ca 3.43-3.45
Tl: 0.2527 0.0158 0.4171  10 Tl 3.34-3.69, 2 Ca 3.51-3.59
Tl: 0.7473 0.9842 0.9171  10 Tl 3.34-3.69, 2 Ca 3.51-3.59
Tl: 0.7473 0.9842 0.5829  10 Tl 3.34-3.69, 2 Ca 3.51-3.59
Tl: 0.2527 0.0158 0.0829  10 Tl 3.34-3.69, 2 Ca 3.51-3.59
Tl: 0.2542 0.5170 0.4160  9 Tl 3.36-3.69, 3 Ca 3.40-3.56
Tl: 0.7458 0.4830 0.9160  9 Tl 3.36-3.69, 3 Ca 3.40-3.56
Tl: 0.7458 0.4830 0.5840  9 Tl 3.36-3.69, 3 Ca 3.40-3.56
Tl: 0.2542 0.5170 0.0840  9 Tl 3.36-3.69, 3 Ca 3.40-3.56

Summary:
As for the mass density: 9.82 g/cm³. The value obtained for the polymorph energy (0 for the lowest one) is 0.0093 eV per atom. The value obtained for the total moment is 0.000 μB/cell.

Q: Among the records above, which one has the highest mass density?
A: CaTl5